1.
VASP calculation (PBE) on a relaxed PmY7Er5 crystal.

The calculation puts the formation energy at 0.241 eV per atom. The value obtained for the total energy is -5.360 eV/atom. The symmetry is Imm2.

Lattice parameters (Å, degrees): 8.700 8.700 8.700 134.90 100.27 96.65
Fractional coordinates of all 13 atoms:
1 Pm 0.000 0.000 0.000
2 Y 0.228 0.558 0.669
3 Y 0.303 0.303 0.000
4 Y 0.383 0.057 0.326
5 Y 0.613 0.613 0.000
6 Y 0.731 0.057 0.674
7 Y 0.804 0.304 0.500
8 Y 0.889 0.558 0.331
9 Er 0.035 0.040 0.463
10 Er 0.035 0.572 0.996
11 Er 0.312 0.812 0.500
12 Er 0.577 0.040 0.004
13 Er 0.577 0.572 0.537

2.
VASP calculation (PBE) on a relaxed Pm2Y12Er5 crystal.

For the polymorph energy (0 for the lowest one), the calculation gives 0 meV per atom. The calculation puts the formation energy at 0.086 eV per atom. The value obtained for the total energy is -5.697 eV/atom. The symmetry is P-1.

Lattice parameters (Å, degrees): 6.732 8.844 11.362 110.88 92.45 100.64
Fractional coordinates of all 19 atoms:
1 Pm 0.118 0.265 0.014
2 Pm 0.882 0.735 0.986
3 Y 0.110 0.693 0.226
4 Y 0.118 0.853 0.762
5 Y 0.164 0.444 0.586
6 Y 0.338 0.429 0.313
7 Y 0.347 0.026 0.135
8 Y 0.384 0.219 0.755
9 Y 0.616 0.781 0.245
10 Y 0.653 0.974 0.865
11 Y 0.662 0.571 0.687
12 Y 0.836 0.556 0.414
13 Y 0.882 0.147 0.238
14 Y 0.890 0.307 0.774
15 Er 0.000 0.000 0.500
16 Er 0.344 0.615 0.931
17 Er 0.459 0.819 0.537
18 Er 0.541 0.181 0.463
19 Er 0.656 0.385 0.069

3.
VASP calculation (PBE) on a relaxed Pm4YEr7 crystal.

For the polymorph energy (0 for the lowest one), the calculation gives 0 meV per atom. The calculation puts the formation energy at 0.086 eV per atom. The value obtained for the total energy is -4.698 eV/atom. The symmetry is P-1.

Lattice parameters (Å, degrees): 6.541 6.820 9.019 84.92 77.22 81.57
Fractional coordinates of all 12 atoms:
1 Pm 0.136 0.307 0.286
2 Pm 0.338 0.885 0.692
3 Pm 0.662 0.115 0.308
4 Pm 0.864 0.693 0.714
5 Y 0.500 0.500 0.000
6 Er 0.013 0.252 0.951
7 Er 0.182 0.798 0.356
8 Er 0.313 0.394 0.617
9 Er 0.500 0.000 0.000
10 Er 0.687 0.606 0.383
11 Er 0.818 0.202 0.644
12 Er 0.987 0.748 0.049

4.
VASP calculation (PBE) on a relaxed PmY3Er3 crystal.

For the polymorph energy (0 for the lowest one), the calculation gives 112 meV per atom. The calculation puts the formation energy at 0.250 eV per atom. The value obtained for the total energy is -5.155 eV/atom. The symmetry is R3m.

Lattice parameters (Å, degrees): 6.311 6.311 6.311 102.60 102.60 102.60
Fractional coordinates of all 7 atoms:
1 Pm 0.000 0.000 0.000
2 Y 0.147 0.147 0.547
3 Y 0.147 0.547 0.147
4 Y 0.547 0.147 0.147
5 Er 0.589 0.589 0.938
6 Er 0.589 0.938 0.589
7 Er 0.938 0.589 0.589

Repeat the third record exactly.
VASP calculation (PBE) on a relaxed Pm4YEr7 crystal.

For the polymorph energy (0 for the lowest one), the calculation gives 0 meV per atom. The calculation puts the formation energy at 0.086 eV per atom. The value obtained for the total energy is -4.698 eV/atom. The symmetry is P-1.

Lattice parameters (Å, degrees): 6.541 6.820 9.019 84.92 77.22 81.57
Fractional coordinates of all 12 atoms:
1 Pm 0.136 0.307 0.286
2 Pm 0.338 0.885 0.692
3 Pm 0.662 0.115 0.308
4 Pm 0.864 0.693 0.714
5 Y 0.500 0.500 0.000
6 Er 0.013 0.252 0.951
7 Er 0.182 0.798 0.356
8 Er 0.313 0.394 0.617
9 Er 0.500 0.000 0.000
10 Er 0.687 0.606 0.383
11 Er 0.818 0.202 0.644
12 Er 0.987 0.748 0.049

- The highest total energy belongs to which entry?
  Pm4YEr7

- Among the records above, which one has the lowest total energy?
  Pm2Y12Er5